# FeCo7 | Alexandria | PBE | relaxed
# **Formation energy from the elements**: 1 kJ/mol of atoms
# **Energy above the lowest structure with this stoichiometry**: 0.0048 eV/atom
# **D(E_F)**: 8.26 states/eV/f.u.
# **Magnetization**: 56.1 μB per cell
data_FeCo7
_chemical_formula_sum 'Fe4 Co28'
_space_group_name_H-M_alt 'F m m m'
_space_group_IT_number 69
_space_group_name_Hall '-F 2 2'
_cell_length_a 5.016
_cell_length_b 7.012
_cell_length_c 10.019
_cell_angle_alpha 90.00
_cell_angle_beta 90.00
_cell_angle_gamma 90.00
loop_
_atom_site_label
_atom_site_type_symbol
_atom_site_fract_x
_atom_site_fract_y
_atom_site_fract_z
Fe1 Fe 0.000 0.000 0.000
Co1 Co 0.000 0.000 0.252
Co2 Co 0.000 0.000 0.500
Co3 Co 0.250 0.250 0.127